No. 1
# PBE Ca3CdP, relaxed
# - Electronic total energy: -3.1118 eV/atom
# - Excess energy over the best structure of this formula in the dataset: 12 meV/atom
# - E_form: -3.2 eV per formula unit
data_Ca3CdP
_chemical_formula_sum 'Ca12 Cd4 P4'
_cell_length_a 15.688
_cell_length_b 4.255
_cell_length_c 9.526
_cell_angle_alpha 90.00
_cell_angle_beta 95.35
_cell_angle_gamma 90.00
_symmetry_space_group_name_H-M 'C 1 2/m 1'
_symmetry_Int_Tables_number 12
loop_
_symmetry_equiv_pos_as_xyz
'x,y,z'
'-x,-y,-z'
'-x,y,-z'
'x,-y,z'
'x+1/2,y+1/2,z'
'-x+1/2,-y+1/2,-z'
'-x+1/2,y+1/2,-z'
'x+1/2,-y+1/2,z'
loop_
_atom_site_label
_atom_site_type_symbol
_atom_site_fract_x
_atom_site_fract_y
_atom_site_fract_z
_atom_site_occupancy
Ca1 Ca 0.043 0.000 0.305 1
Ca2 Ca 0.148 0.500 0.953 1
Ca3 Ca 0.248 0.500 0.326 1
Cd1 Cd 0.092 0.500 0.575 1
P1 P 0.184 0.000 0.145 1

***

No. 2
# PBE Ca3CdP, relaxed
# - Electronic total energy: -2.7625 eV/atom
# - Excess energy over the best structure of this formula in the dataset: 361 meV/atom
# - E_form: -1.5 eV per formula unit
data_Ca3CdP
_chemical_formula_sum 'Ca12 Cd4 P4'
_cell_length_a 7.009
_cell_length_b 15.085
_cell_length_c 5.425
_cell_angle_alpha 90.00
_cell_angle_beta 90.00
_cell_angle_gamma 90.00
_symmetry_space_group_name_H-M 'C m c m'
_symmetry_Int_Tables_number 63
_symmetry_space_group_name_Hall '-C 2c 2'
loop_
_atom_site_label
_atom_site_type_symbol
_atom_site_fract_x
_atom_site_fract_y
_atom_site_fract_z
_atom_site_occupancy
Ca1 Ca 0.000 0.000 0.000 1
Ca2 Ca 0.245 0.327 0.250 1
Cd1 Cd 0.000 0.464 0.750 1
P1 P 0.000 0.175 0.250 1

***

No. 3
# PBE Ca3CdP, relaxed
# - Electronic total energy: -3.1005 eV/atom
# - Excess energy over the best structure of this formula in the dataset: 23 meV/atom
# - E_form: -3.2 eV per formula unit
data_Ca3CdP
_chemical_formula_sum 'Ca12 Cd4 P4'
_cell_length_a 16.614
_cell_length_b 4.026
_cell_length_c 8.720
_cell_angle_alpha 90.00
_cell_angle_beta 102.79
_cell_angle_gamma 90.00
_symmetry_space_group_name_H-M 'C 1 m 1'
_symmetry_Int_Tables_number 8
loop_
_symmetry_equiv_pos_as_xyz
'x,y,z'
'x,-y,z'
'x+1/2,y+1/2,z'
'x+1/2,-y+1/2,z'
loop_
_atom_site_label
_atom_site_type_symbol
_atom_site_fract_x
_atom_site_fract_y
_atom_site_fract_z
_atom_site_occupancy
Ca1 Ca 0.000 0.000 0.000 1
Ca2 Ca 0.001 0.500 0.635 1
Ca3 Ca 0.098 0.500 0.337 1
Ca4 Ca 0.200 0.500 0.996 1
Ca5 Ca 0.300 0.500 0.502 1
Ca6 Ca 0.373 0.000 0.207 1
Cd1 Cd 0.168 0.000 0.683 1
Cd2 Cd 0.350 0.000 0.825 1
P1 P 0.208 0.000 0.250 1
P2 P 0.471 0.500 0.379 1

***

No. 4
# PBE Ca3CdP, relaxed
# - Electronic total energy: -3.0832 eV/atom
# - Excess energy over the best structure of this formula in the dataset: 41 meV/atom
# - E_form: -3.1 eV per formula unit
data_Ca3CdP
_chemical_formula_sum 'Ca6 Cd2 P2'
_cell_length_a 3.953
_cell_length_b 7.167
_cell_length_c 10.327
_cell_angle_alpha 90.00
_cell_angle_beta 101.07
_cell_angle_gamma 90.00
_symmetry_space_group_name_H-M 'P 1 21/m 1'
_symmetry_Int_Tables_number 11
loop_
_symmetry_equiv_pos_as_xyz
'x,y,z'
'-x,-y,-z'
'-x,y+1/2,-z'
'x,-y+1/2,z'
loop_
_atom_site_label
_atom_site_type_symbol
_atom_site_fract_x
_atom_site_fract_y
_atom_site_fract_z
_atom_site_occupancy
Ca1 Ca 0.098 0.020 0.196 1
Ca2 Ca 0.270 0.250 0.539 1
Cd1 Cd 0.487 0.250 0.976 1
P1 P 0.328 0.750 0.656 1

***

No. 5
# PBE Ca2CdP, relaxed
# - Electronic total energy: -2.6598 eV/atom
# - Excess energy over the best structure of this formula in the dataset: 615 meV/atom
# - E_form: -0.3 eV per formula unit
data_Ca2CdP
_chemical_formula_sum 'Ca8 Cd4 P4'
_cell_length_a 7.444
_cell_length_b 7.444
_cell_length_c 7.444
_cell_angle_alpha 90.00
_cell_angle_beta 90.00
_cell_angle_gamma 90.00
_symmetry_space_group_name_H-M 'F -4 3 m'
_symmetry_Int_Tables_number 216
_symmetry_space_group_name_Hall 'F -4 2 3'
loop_
_atom_site_label
_atom_site_type_symbol
_atom_site_fract_x
_atom_site_fract_y
_atom_site_fract_z
_atom_site_occupancy
Ca1 Ca 0.000 0.000 0.000 1
Ca2 Ca 0.250 0.250 0.250 1
Cd1 Cd 0.250 0.250 0.750 1
P1 P 0.000 0.000 0.500 1

***

No. 6
# PBE Ca3CdP, relaxed
# - Electronic total energy: -2.8299 eV/atom
# - Excess energy over the best structure of this formula in the dataset: 294 meV/atom
# - E_form: -1.8 eV per formula unit
data_Ca3CdP
_chemical_formula_sum 'Ca18 Cd6 P6'
_cell_length_a 8.6399
_cell_length_b 8.6399
_cell_length_c 13.9764
_cell_angle_alpha 90.00
_cell_angle_beta 90.00
_cell_angle_gamma 120.00
_symmetry_space_group_name_H-M 'R -3 c'
_symmetry_Int_Tables_number 167
_symmetry_space_group_name_Hall '-R 3 2"c'
loop_
_atom_site_label
_atom_site_type_symbol
_atom_site_fract_x
_atom_site_fract_y
_atom_site_fract_z
_atom_site_occupancy
Ca1 Ca 0.0000 0.3243 0.2500 1
Cd1 Cd 0.0000 0.0000 0.0000 1
P1 P 0.0000 0.0000 0.2500 1

***

No. 7
# PBE Ca2CdP, relaxed
# - Electronic total energy: -3.0176 eV/atom
# - Excess energy over the best structure of this formula in the dataset: 257 meV/atom
# - E_form: -1.7 eV per formula unit
data_Ca2CdP
_chemical_formula_sum 'Ca8 Cd4 P4'
_cell_length_a 8.055
_cell_length_b 8.055
_cell_length_c 7.442
_cell_angle_alpha 90.00
_cell_angle_beta 90.00
_cell_angle_gamma 90.00
_symmetry_space_group_name_H-M 'I -4 2 d'
_symmetry_Int_Tables_number 122
_symmetry_space_group_name_Hall 'I -4 2bw'
loop_
_atom_site_label
_atom_site_type_symbol
_atom_site_fract_x
_atom_site_fract_y
_atom_site_fract_z
_atom_site_occupancy
Ca1 Ca 0.199 0.250 0.125 1
Cd1 Cd 0.000 0.000 0.500 1
P1 P 0.000 0.000 0.000 1

***

No. 8
# PBE Ca3CdP, relaxed
# - Electronic total energy: -3.0595 eV/atom
# - Excess energy over the best structure of this formula in the dataset: 64 meV/atom
# - E_form: -3.0 eV per formula unit
data_Ca3CdP
_chemical_formula_sum 'Ca24 Cd8 P8'
_cell_length_a 13.347
_cell_length_b 12.938
_cell_length_c 7.124
_cell_angle_alpha 90.00
_cell_angle_beta 105.70
_cell_angle_gamma 90.00
_symmetry_space_group_name_H-M 'C 1 2/c 1'
_symmetry_Int_Tables_number 15
loop_
_symmetry_equiv_pos_as_xyz
'x,y,z'
'-x,-y,-z'
'-x,y,-z+1/2'
'x,-y,z+1/2'
'x+1/2,y+1/2,z'
'-x+1/2,-y+1/2,-z'
'-x+1/2,y+1/2,-z+1/2'
'x+1/2,-y+1/2,z+1/2'
loop_
_atom_site_label
_atom_site_type_symbol
_atom_site_fract_x
_atom_site_fract_y
_atom_site_fract_z
_atom_site_occupancy
Ca1 Ca 0.069 0.123 0.067 1
Ca2 Ca 0.171 0.287 0.639 1
Ca3 Ca 0.202 0.443 0.136 1
Cd1 Cd 0.000 0.355 0.250 1
Cd2 Cd 0.000 0.421 0.750 1
P1 P 0.156 0.084 0.478 1

***

No. 9
# PBE CaCdP2, relaxed
# - Electronic total energy: -3.6654 eV/atom
# - E_form: -0.9 eV per formula unit
data_CaCdP2
_chemical_formula_sum 'Ca2 Cd2 P4'
_cell_length_a 7.871
_cell_length_b 4.049
_cell_length_c 5.757
_cell_angle_alpha 90.00
_cell_angle_beta 108.34
_cell_angle_gamma 90.00
_symmetry_space_group_name_H-M 'C 1 2/m 1'
_symmetry_Int_Tables_number 12
loop_
_symmetry_equiv_pos_as_xyz
'x,y,z'
'-x,-y,-z'
'-x,y,-z'
'x,-y,z'
'x+1/2,y+1/2,z'
'-x+1/2,-y+1/2,-z'
'-x+1/2,y+1/2,-z'
'x+1/2,-y+1/2,z'
loop_
_atom_site_label
_atom_site_type_symbol
_atom_site_fract_x
_atom_site_fract_y
_atom_site_fract_z
_atom_site_occupancy
Ca1 Ca 0.000 0.000 0.000 1
Cd1 Cd 0.000 0.500 0.500 1
P1 P 0.247 0.000 0.728 1

***

No. 10
# PBE CaCd3P, relaxed
# - Electronic total energy: -1.8897 eV/atom
# - Excess energy over the best structure of this formula in the dataset: 0 meV/atom
# - E_form: 0.7 eV per formula unit
data_CaCd3P
_chemical_formula_sum 'Ca1 Cd3 P1'
_cell_length_a 5.211
_cell_length_b 5.211
_cell_length_c 5.211
_cell_angle_alpha 90.00
_cell_angle_beta 90.00
_cell_angle_gamma 90.00
_symmetry_space_group_name_H-M 'P m -3 m'
_symmetry_Int_Tables_number 221
_symmetry_space_group_name_Hall '-P 4 2 3'
loop_
_atom_site_label
_atom_site_type_symbol
_atom_site_fract_x
_atom_site_fract_y
_atom_site_fract_z
_atom_site_occupancy
Ca1 Ca 0.000 0.000 0.000 1
Cd1 Cd 0.000 0.500 0.500 1
P1 P 0.500 0.500 0.500 1

***

No. 11
# PBE Ca3CdP, relaxed
# - Electronic total energy: -3.0472 eV/atom
# - Excess energy over the best structure of this formula in the dataset: 77 meV/atom
# - E_form: -2.9 eV per formula unit
data_Ca3CdP
_chemical_formula_sum 'Ca3 Cd1 P1'
_cell_length_a 5.492
_cell_length_b 5.492
_cell_length_c 5.492
_cell_angle_alpha 90.00
_cell_angle_beta 90.00
_cell_angle_gamma 90.00
_symmetry_space_group_name_H-M 'P m -3 m'
_symmetry_Int_Tables_number 221
_symmetry_space_group_name_Hall '-P 4 2 3'
loop_
_atom_site_label
_atom_site_type_symbol
_atom_site_fract_x
_atom_site_fract_y
_atom_site_fract_z
_atom_site_occupancy
Ca1 Ca 0.000 0.000 0.500 1
Cd1 Cd 0.500 0.500 0.500 1
P1 P 0.000 0.000 0.000 1

***

No. 12
# PBE Ca3CdP, relaxed
# - Electronic total energy: -3.1101 eV/atom
# - Excess energy over the best structure of this formula in the dataset: 14 meV/atom
# - E_form: -3.2 eV per formula unit
data_Ca3CdP
_chemical_formula_sum 'Ca12 Cd4 P4'
_cell_length_a 16.527
_cell_length_b 4.484
_cell_length_c 9.052
_cell_angle_alpha 90.00
_cell_angle_beta 117.18
_cell_angle_gamma 90.00
_symmetry_space_group_name_H-M 'C 1 2/m 1'
_symmetry_Int_Tables_number 12
loop_
_symmetry_equiv_pos_as_xyz
'x,y,z'
'-x,-y,-z'
'-x,y,-z'
'x,-y,z'
'x+1/2,y+1/2,z'
'-x+1/2,-y+1/2,-z'
'-x+1/2,y+1/2,-z'
'x+1/2,-y+1/2,z'
loop_
_atom_site_label
_atom_site_type_symbol
_atom_site_fract_x
_atom_site_fract_y
_atom_site_fract_z
_atom_site_occupancy
Ca1 Ca 0.070 0.000 0.219 1
Ca2 Ca 0.082 0.500 0.723 1
Ca3 Ca 0.233 0.000 0.662 1
Cd1 Cd 0.185 0.000 0.001 1
P1 P 0.122 0.500 0.441 1

***

No. 13
# PBE Ca2CdP, relaxed
# - Electronic total energy: -3.1428 eV/atom
# - Excess energy over the best structure of this formula in the dataset: 132 meV/atom
# - E_form: -2.2 eV per formula unit
data_Ca2CdP
_chemical_formula_sum 'Ca4 Cd2 P2'
_cell_length_a 3.777
_cell_length_b 4.265
_cell_length_c 14.210
_cell_angle_alpha 90.00
_cell_angle_beta 90.00
_cell_angle_gamma 90.00
_symmetry_space_group_name_H-M 'I m m 2'
_symmetry_Int_Tables_number 44
loop_
_symmetry_equiv_pos_as_xyz
'x,y,z'
'-x,-y,z'
'-x,y,z'
'x,-y,z'
'x+1/2,y+1/2,z+1/2'
'-x+1/2,-y+1/2,z+1/2'
'-x+1/2,y+1/2,z+1/2'
'x+1/2,-y+1/2,z+1/2'
loop_
_atom_site_label
_atom_site_type_symbol
_atom_site_fract_x
_atom_site_fract_y
_atom_site_fract_z
_atom_site_occupancy
Ca1 Ca 0.000 0.000 0.000 1
Ca2 Ca 0.000 0.500 0.199 1
Cd1 Cd 0.000 0.500 0.825 1
P1 P 0.000 0.000 0.548 1

***

No. 14
# PBE Ca3CdP, relaxed
# - Electronic total energy: -3.0483 eV/atom
# - Excess energy over the best structure of this formula in the dataset: 76 meV/atom
# - E_form: -2.9 eV per formula unit
data_Ca3CdP
_chemical_formula_sum 'Ca18 Cd6 P6'
_cell_length_a 7.4243
_cell_length_b 7.4243
_cell_length_c 21.0921
_cell_angle_alpha 90.00
_cell_angle_beta 90.00
_cell_angle_gamma 120.00
_symmetry_space_group_name_H-M 'R -3'
_symmetry_Int_Tables_number 148
_symmetry_space_group_name_Hall '-R 3'
loop_
_atom_site_label
_atom_site_type_symbol
_atom_site_fract_x
_atom_site_fract_y
_atom_site_fract_z
_atom_site_occupancy
Ca1 Ca 0.0061 0.3725 0.4249 1
Cd1 Cd 0.0000 0.0000 0.3521 1
P1 P 0.0000 0.0000 0.1627 1

***

No. 15
# PBE CaCd3P, relaxed
# - Electronic total energy: -1.0496 eV/atom
# - Excess energy over the best structure of this formula in the dataset: 840 meV/atom
# - E_form: 4.9 eV per formula unit
data_CaCd3P
_chemical_formula_sum 'Ca1 Cd3 P1'
_cell_length_a 6.000
_cell_length_b 6.000
_cell_length_c 6.000
_cell_angle_alpha 90.00
_cell_angle_beta 90.00
_cell_angle_gamma 90.00
_symmetry_space_group_name_H-M 'P m -3 m'
_symmetry_Int_Tables_number 221
_symmetry_space_group_name_Hall '-P 4 2 3'
loop_
_atom_site_label
_atom_site_type_symbol
_atom_site_fract_x
_atom_site_fract_y
_atom_site_fract_z
_atom_site_occupancy
Ca1 Ca 0.000 0.000 0.000 1
Cd1 Cd 0.000 0.000 0.500 1
P1 P 0.500 0.500 0.500 1

***

No. 16
# PBE CaCdP2, relaxed
# - Electronic total energy: -3.6364 eV/atom
# - E_form: -0.8 eV per formula unit
data_CaCdP2
_chemical_formula_sum 'Ca1 Cd1 P2'
_cell_length_a 3.766
_cell_length_b 3.766
_cell_length_c 5.938
_cell_angle_alpha 90.00
_cell_angle_beta 90.00
_cell_angle_gamma 90.00
_symmetry_space_group_name_H-M 'P 4/m m m'
_symmetry_Int_Tables_number 123
_symmetry_space_group_name_Hall '-P 4 2'
loop_
_atom_site_label
_atom_site_type_symbol
_atom_site_fract_x
_atom_site_fract_y
_atom_site_fract_z
_atom_site_occupancy
Ca1 Ca 0.000 0.000 0.000 1
Cd1 Cd 0.000 0.000 0.500 1
P1 P 0.500 0.500 0.304 1

***

No. 17
# PBE Ca3CdP, relaxed
# - Electronic total energy: -2.5198 eV/atom
# - Excess energy over the best structure of this formula in the dataset: 604 meV/atom
# - E_form: -0.3 eV per formula unit
data_Ca3CdP
_chemical_formula_sum 'Ca9 Cd3 P3'
_cell_length_a 8.8234
_cell_length_b 8.8234
_cell_length_c 10.2679
_cell_angle_alpha 90.00
_cell_angle_beta 90.00
_cell_angle_gamma 120.00
_symmetry_space_group_name_H-M 'R 3 m'
_symmetry_Int_Tables_number 160
_symmetry_space_group_name_Hall 'R 3 -2"'
loop_
_atom_site_label
_atom_site_type_symbol
_atom_site_fract_x
_atom_site_fract_y
_atom_site_fract_z
_atom_site_occupancy
Ca1 Ca 0.1701 0.3403 0.0000 1
Cd1 Cd 0.0000 0.0000 0.1587 1
P1 P 0.0000 0.0000 0.4391 1

***

No. 18
# PBE Ca3CdP, relaxed
# - Electronic total energy: -2.4315 eV/atom
# - Excess energy over the best structure of this formula in the dataset: 692 meV/atom
# - E_form: 0.2 eV per formula unit
data_Ca3CdP
_chemical_formula_sum 'Ca12 Cd4 P4'
_cell_length_a 7.648
_cell_length_b 21.301
_cell_length_c 5.619
_cell_angle_alpha 90.00
_cell_angle_beta 90.00
_cell_angle_gamma 90.00
_symmetry_space_group_name_H-M 'C m c m'
_symmetry_Int_Tables_number 63
_symmetry_space_group_name_Hall '-C 2c 2'
loop_
_atom_site_label
_atom_site_type_symbol
_atom_site_fract_x
_atom_site_fract_y
_atom_site_fract_z
_atom_site_occupancy
Ca1 Ca 0.000 0.000 0.000 1
Ca2 Ca 0.223 0.178 0.250 1
Cd1 Cd 0.000 0.124 0.750 1
P1 P 0.000 0.242 0.750 1

***

No. 19
# PBE Ca2CdP, relaxed
# - Electronic total energy: -3.1878 eV/atom
# - Excess energy over the best structure of this formula in the dataset: 87 meV/atom
# - E_form: -2.4 eV per formula unit
data_Ca2CdP
_chemical_formula_sum 'Ca2 Cd1 P1'
_cell_length_a 4.935
_cell_length_b 4.935
_cell_length_c 4.015
_cell_angle_alpha 90.00
_cell_angle_beta 90.00
_cell_angle_gamma 90.00
_symmetry_space_group_name_H-M 'P 4/m m m'
_symmetry_Int_Tables_number 123
_symmetry_space_group_name_Hall '-P 4 2'
loop_
_atom_site_label
_atom_site_type_symbol
_atom_site_fract_x
_atom_site_fract_y
_atom_site_fract_z
_atom_site_occupancy
Ca1 Ca 0.000 0.500 0.000 1
Cd1 Cd 0.000 0.000 0.500 1
P1 P 0.500 0.500 0.500 1

***

No. 20
# PBE Ca2CdP, relaxed
# - Electronic total energy: -3.2521 eV/atom
# - Excess energy over the best structure of this formula in the dataset: 22 meV/atom
# - E_form: -2.7 eV per formula unit
data_Ca2CdP
_chemical_formula_sum 'Ca2 Cd1 P1'
_cell_length_a 3.659
_cell_length_b 3.774
_cell_length_c 7.115
_cell_angle_alpha 90.00
_cell_angle_beta 90.00
_cell_angle_gamma 90.00
_symmetry_space_group_name_H-M 'P m m m'
_symmetry_Int_Tables_number 47
loop_
_symmetry_equiv_pos_as_xyz
'x,y,z'
'-x,-y,-z'
'-x,-y,z'
'x,y,-z'
'x,-y,-z'
'-x,y,z'
'-x,y,-z'
'x,-y,z'
loop_
_atom_site_label
_atom_site_type_symbol
_atom_site_fract_x
_atom_site_fract_y
_atom_site_fract_z
_atom_site_occupancy
Ca1 Ca 0.000 0.000 0.214 1
Cd1 Cd 0.500 0.500 0.500 1
P1 P 0.500 0.500 0.000 1